Ba4Eu2Ni | PBE-GGA | optimized geometry

Cell lengths 6.0698, 6.0698, 11.3164 Å; angles 105.56, 105.56, 90.00 degrees
Element x y z (fractional)
Eu 0.6534 0.6534 0.3068
Eu 0.3466 0.3466 0.6932
Ni 0.0000 0.0000 0.0000
Ba 0.8509 0.8509 0.7018
Ba 0.1491 0.1491 0.2982
Ba 0.0000 0.5000 0.0000
Ba 0.5000 0.0000 0.0000

Calculated values
Energy relative to the elements = 0.18 eV per atom
Calculated volume = 55.11 A^3/atom
Raw total energy = -32.768 eV per cell


Pm5SmHo5 | PBE-GGA | optimized geometry

Cell lengths 6.1067, 6.1067, 11.7557 Å; angles 90.00, 90.00, 120.00 degrees
Element x y z (fractional)
Pm 0.6667 0.3333 0.1547
Pm 0.6667 0.3333 0.8453
Pm 0.3333 0.6667 0.3188
Pm 0.3333 0.6667 0.6812
Pm 0.0000 0.0000 0.0000
Sm 0.3333 0.6667 0.0000
Ho 0.3336 0.1668 0.5000
Ho 0.0000 0.0000 0.2659
Ho 0.8332 0.6664 0.5000
Ho 0.8332 0.1668 0.5000
Ho 0.0000 0.0000 0.7341

Calculated values
Energy relative to the elements = 0.29 eV per atom
Calculated volume = 34.51 A^3/atom
Raw total energy = -48.118 eV per cell


Tb3PrSmTh | PBE-GGA | optimized geometry

Cell lengths 5.0979, 8.0429, 10.8247 Å; angles 116.52, 90.00, 90.00 degrees
Element x y z (fractional)
Tb 0.7500 0.8744 0.0434
Tb 0.2500 0.1256 0.9566
Tb 0.2500 0.6321 0.4568
Tb 0.7500 0.3679 0.5432
Tb 0.7500 0.3791 0.2087
Tb 0.2500 0.6209 0.7913
Pr 0.2500 0.1210 0.2937
Pr 0.7500 0.8790 0.7063
Sm 0.2500 0.6272 0.1292
Sm 0.7500 0.3728 0.8708
Th 0.2500 0.1222 0.6224
Th 0.7500 0.8778 0.3776

Calculated values
Energy relative to the elements = 0.03 eV per atom
Calculated volume = 33.09 A^3/atom
Raw total energy = -61.216 eV per cell